## Ac2LaTm (PBE-GGA)

Data for Ac2LaTm after structural relaxation.

The calculation puts the energy of formation from the pure elements at 48 meV/atom. Its relative energy among the computed polymorphs is 13 meV/atom. As for the density of states at the Fermi level: 1.79 states/eV/atom.

The space group is P4/mmm (No. 123) and the conventional cell measures 3.869, 3.869 and 10.398 Å, with angles of 90.00, 90.00 and 90.00 degrees. The asymmetric unit holds Ac at (0.000, 0.000, 0.240), La at (0.500, 0.500, 0.500) and Tm at (0.500, 0.500, 0.000).